Record 1
! ZnAu | Alexandria via LeMat-Bulk | PBE | relaxed; values from VASP
&SYSTEM
  ibrav = 0, nat = 4, ntyp = 2
/
ATOMIC_SPECIES
Zn 65.41 Zn.upf
Au 196.97 Au.upf
CELL_PARAMETERS angstrom
2.934 0.000 0.000
-1.467 2.541 0.000
0.000 0.000 8.918
ATOMIC_POSITIONS angstrom
Zn 0.000 1.694 6.628
Zn 0.000 0.000 4.519
Au 0.000 1.694 2.366
Au 0.000 0.000 8.782
! - ΔH_f (0 K): -0.09 eV/atom
! - M_tot: 0.000 μB per formula unit

***

Record 2
! ZnAu2 | Alexandria via LeMat-Bulk | PBE | relaxed; values from VASP
&SYSTEM
  ibrav = 0, nat = 3, ntyp = 2
/
ATOMIC_SPECIES
Au 196.97 Au.upf
Zn 65.41 Zn.upf
CELL_PARAMETERS angstrom
-1.107 -3.939 -2.008
3.618 -1.997 1.922
-1.566 -0.695 2.226
ATOMIC_POSITIONS angstrom
Au -1.337 -2.317 0.109
Au 1.026 -1.346 2.074
Zn 0.000 0.000 0.000
! - ΔH_f (0 K): -0.06 eV/atom
! - M_tot: 0.000 μB per formula unit

***

Record 3
! ZnAu6 | Alexandria via LeMat-Bulk | PBE | relaxed; values from VASP
&SYSTEM
  ibrav = 0, nat = 7, ntyp = 2
/
ATOMIC_SPECIES
Au 196.97 Au.upf
Zn 65.41 Zn.upf
CELL_PARAMETERS angstrom
-6.093 -0.606 -2.228
0.062 -0.959 6.444
2.213 5.983 -1.327
ATOMIC_POSITIONS angstrom
Au -3.986 0.562 1.220
Au -2.447 0.474 3.388
Au -3.448 2.297 -0.723
Au -0.371 2.121 3.613
Au 0.167 3.856 1.670
Au -1.371 3.945 -0.498
Zn 0.000 0.000 0.000
! - ΔH_f (0 K): 0.67 eV/atom
! - M_tot: 0.000 μB per formula unit

***

Which of these has the highest ΔH_f (0 K)?
ZnAu6

***

M_tot of number 2 (ZnAu2)?
0.000 μB per formula unit

***

What is the M_tot in the second record?
0.000 μB per formula unit

***

Which of these has the lowest ΔH_f (0 K)?
ZnAu